Compound: Li3AlAu12
Source: Alexandria
Functional: PBE-GGA
Structure: optimized geometry Values from VASP.

The structure in Quantum ESPRESSO input format:
```
&SYSTEM
  ibrav = 0, nat = 16, ntyp = 3
/
ATOMIC_SPECIES
Au 196.97 Au.upf
Li 6.94 Li.upf
Al 26.98 Al.upf
CELL_PARAMETERS angstrom
-0.4900 -1.3412 3.8188
4.0354 0.1357 0.5655
-1.2540 15.4107 5.2516
ATOMIC_POSITIONS angstrom
Au -1.0277 8.9477 5.1871
Au 0.8336 10.9377 6.1248
Au 1.7727 -0.6028 2.1921
Au 1.4578 3.2675 3.5110
Au -0.7163 5.1218 3.8833
Au 1.5463 5.8603 2.2566
Au 0.9215 13.5393 4.8735
Au -1.3412 12.8009 6.5001
Au 1.8599 2.0071 0.9436
Au 1.1457 7.1026 4.8179
Au 1.2350 9.6861 3.5604
Au -0.4028 1.2686 2.5703
Li -0.3167 3.8920 1.3263
Li -0.9373 11.5188 3.9253
Li -0.6270 7.7054 2.6258
Al 0.0000 0.0000 0.0000
```

Values from the calculation:
Total energy ... -3.363 eV per atom
Total moment ... 0.0 Bohr magnetons per cell
Energy of formation ... -0.31 eV per atom

***

Compound: Li3AlAu3
Source: Alexandria
Functional: PBE-GGA
Structure: optimized geometry Values from VASP.

The structure in Quantum ESPRESSO input format:
```
&SYSTEM
  ibrav = 0, nat = 14, ntyp = 3
/
ATOMIC_SPECIES
Au 196.97 Au.upf
Li 6.94 Li.upf
Al 26.98 Al.upf
CELL_PARAMETERS angstrom
5.6902 0.6145 0.1702
-1.9849 5.3681 0.1702
-0.3796 -0.6129 7.3800
ATOMIC_POSITIONS angstrom
Au 3.4524 5.5741 1.7823
Au -0.6602 2.4503 2.2483
Au -0.1266 -0.2045 5.9382
Au 3.9859 2.9193 5.4721
Au 2.4879 0.5006 2.2483
Au 0.8379 4.8691 5.4721
Li 2.1446 3.4627 2.8132
Li -1.0298 4.3525 3.8602
Li -0.1565 4.2356 0.1702
Li 1.1811 1.9070 4.9073
Li 4.3555 1.0171 3.8602
Li 3.8617 1.7469 0.1702
Al 1.1330 1.8293 0.5018
Al 2.1927 3.5403 7.2186
```

Values from the calculation:
Total energy ... -3.158 eV per atom
Total moment ... 0.0 Bohr magnetons per cell
Relative energy among the computed polymorphs ... 0.52 eV/f.u.
Energy of formation ... -0.40 eV per atom

***

Compound: LiAl2Au2
Source: Alexandria
Functional: PBE-GGA
Structure: optimized geometry Values from VASP.

The structure in Quantum ESPRESSO input format:
```
&SYSTEM
  ibrav = 0, nat = 10, ntyp = 3
/
ATOMIC_SPECIES
Au 196.97 Au.upf
Al 26.98 Al.upf
Li 6.94 Li.upf
CELL_PARAMETERS angstrom
-0.0208 -0.2856 7.8087
4.8426 -6.1288 -0.2112
2.2157 1.7483 0.0698
ATOMIC_POSITIONS angstrom
Au 5.0994 -4.3874 5.1142
Au 1.9381 -0.2786 2.5530
Au 4.3626 -3.2989 1.2425
Au 2.6749 -1.3671 6.4248
Al 0.6040 -0.9601 4.8723
Al 1.8016 -2.3199 0.9162
Al 3.0202 -4.0944 6.6812
Al 4.2178 -5.4543 2.7251
Li 2.4109 -3.2072 3.7987
Li 0.0000 0.0000 0.0000
```

Values from the calculation:
Total energy ... -3.600 eV per atom
Total moment ... 0.0 Bohr magnetons per cell
Relative energy among the computed polymorphs ... 0.35 eV/f.u.
Energy of formation ... -0.41 eV per atom

***

Compound: Li3Al2Au7
Source: Alexandria
Functional: PBE-GGA
Structure: optimized geometry Values from VASP.

The structure in Quantum ESPRESSO input format:
```
&SYSTEM
  ibrav = 0, nat = 12, ntyp = 3
/
ATOMIC_SPECIES
Al 26.98 Al.upf
Au 196.97 Au.upf
Li 6.94 Li.upf
CELL_PARAMETERS angstrom
-3.0154 1.4354 -1.6661
1.2877 -1.6086 -3.7163
-7.8627 -11.0770 4.6871
ATOMIC_POSITIONS angstrom
Al -6.7889 -7.9450 1.2618
Al -2.8016 -3.3052 -1.9572
Au 0.0000 0.0000 0.0000
Au -6.8757 -9.9677 -0.3237
Au -4.0389 -5.3029 -1.4389
Au -2.7148 -1.2824 -0.3717
Au -5.5515 -5.9472 0.7435
Au -0.3841 -2.5070 -1.4647
Au -6.1910 -10.1786 2.4355
Li -3.8021 -8.1163 -0.1112
Li -2.7729 -4.5693 1.0820
Li -0.8639 -0.0866 -2.6912
```

Values from the calculation:
Total energy ... -3.347 eV per atom
Total moment ... 0.0 Bohr magnetons per cell
Energy of formation ... -0.33 eV per atom

***

Compound: Li5AlAu
Source: Alexandria
Functional: PBE-GGA
Structure: optimized geometry Values from VASP.

The structure in Quantum ESPRESSO input format:
```
&SYSTEM
  ibrav = 0, nat = 14, ntyp = 3
/
ATOMIC_SPECIES
Au 196.97 Au.upf
Li 6.94 Li.upf
Al 26.98 Al.upf
CELL_PARAMETERS angstrom
-1.9509 -1.9411 -4.2243
-2.6014 -2.4704 3.5424
-3.4834 9.2437 0.3382
ATOMIC_POSITIONS angstrom
Au -4.9024 4.7159 0.0758
Au -3.1334 0.1163 -0.4196
Li -3.4624 2.5131 1.0492
Li -4.0310 6.7662 1.7688
Li -6.0189 2.4662 1.3092
Li -2.0169 2.3660 -1.6529
Li -2.9026 0.3040 -3.1746
Li -5.1331 4.5282 2.8309
Li -3.0251 -2.4601 0.7469
Li -4.0047 -1.9340 -2.1125
Li -4.5734 2.3191 -1.3929
Li -5.0107 7.2923 -1.0906
Al 0.0000 0.0000 0.0000
Al -1.7417 4.6219 0.1691
```

Values from the calculation:
Total energy ... -2.562 eV per atom
Total moment ... 0.0 Bohr magnetons per cell
Energy of formation ... -0.19 eV per atom

***

Compound: LiAlAu
Source: Alexandria
Functional: PBE-GGA
Structure: optimized geometry Values from VASP.

The structure in Quantum ESPRESSO input format:
```
&SYSTEM
  ibrav = 0, nat = 3, ntyp = 3
/
ATOMIC_SPECIES
Al 26.98 Al.upf
Au 196.97 Au.upf
Li 6.94 Li.upf
CELL_PARAMETERS angstrom
3.3159 0.0000 0.0000
0.0000 3.3159 0.0000
-1.6580 -1.6580 4.1966
ATOMIC_POSITIONS angstrom
Al 0.0000 0.0000 2.3874
Au 1.6580 1.6580 3.7988
Li 1.6580 1.6580 0.9480
```

Values from the calculation:
Total energy ... -3.426 eV per atom
Total moment ... 0.0 Bohr magnetons per cell
Energy of formation ... -0.45 eV per atom

***

Compound: Li3Al2Au2
Source: Alexandria
Functional: PBE-GGA
Structure: optimized geometry Values from VASP.

The structure in Quantum ESPRESSO input format:
```
&SYSTEM
  ibrav = 0, nat = 7, ntyp = 3
/
ATOMIC_SPECIES
Au 196.97 Au.upf
Li 6.94 Li.upf
Al 26.98 Al.upf
CELL_PARAMETERS angstrom
4.2036 -0.0271 -1.3466
-2.3060 3.7638 -0.0101
-0.1252 -0.0332 6.8846
ATOMIC_POSITIONS angstrom
Au 2.5306 1.5543 0.6692
Au -0.7583 2.1492 4.8587
Li 0.8110 0.5118 2.5439
Li 0.0000 0.0000 0.0000
Li 0.9613 3.1917 2.9839
Al 0.1463 2.6814 0.4386
Al 1.6260 1.0221 5.0892
```

Values from the calculation:
Total energy ... -3.337 eV per atom
Total moment ... 0.0 Bohr magnetons per cell
Energy of formation ... -0.51 eV per atom

***

Compound: LiAlAu2
Source: Alexandria
Functional: PBE-GGA
Structure: optimized geometry Values from VASP.

The structure in Quantum ESPRESSO input format:
```
&SYSTEM
  ibrav = 0, nat = 4, ntyp = 3
/
ATOMIC_SPECIES
Au 196.97 Au.upf
Al 26.98 Al.upf
Li 6.94 Li.upf
CELL_PARAMETERS angstrom
-7.0215 -4.8907 0.8383
-5.8648 -6.0455 -1.7258
-4.8603 -7.0255 0.9717
ATOMIC_POSITIONS angstrom
Au -0.0491 -0.0497 0.0002
Au -8.8242 -8.9312 0.0418
Al -13.3100 -13.4713 0.0631
Li -4.4367 -4.4904 0.0210
```

Values from the calculation:
Total energy ... -3.353 eV per atom
Total moment ... 0.0 Bohr magnetons per cell
Energy of formation ... -0.30 eV per atom

***

Compound: Li2Al5Au3
Source: Alexandria
Functional: PBE-GGA
Structure: optimized geometry Values from VASP.

The structure in Quantum ESPRESSO input format:
```
&SYSTEM
  ibrav = 0, nat = 20, ntyp = 3
/
ATOMIC_SPECIES
Al 26.98 Al.upf
Li 6.94 Li.upf
Au 196.97 Au.upf
CELL_PARAMETERS angstrom
-2.3079 -2.2120 -2.7445
5.8924 -1.6256 -3.6448
2.5789 -8.6225 8.0148
ATOMIC_POSITIONS angstrom
Al 0.9930 -10.0030 3.9930
Al 2.0722 -2.8253 0.5345
Al 5.9574 -7.1183 0.7275
Al 1.6109 -5.7293 0.0290
Al 3.9829 -2.1295 -1.6330
Al 3.5559 -6.4046 2.1717
Al 3.5072 -8.4509 3.8619
Al 5.1173 -6.7479 -2.0987
Al 4.4398 -4.5012 -3.3397
Al 4.6014 -9.7756 0.7754
Li 5.9798 -10.5788 3.4977
Li 4.6053 -4.6177 -0.1510
Li 0.9083 -7.6632 2.1784
Li 0.5788 -1.9903 -2.1166
Au 2.2726 -4.1033 -1.8380
Au 0.2562 -0.9424 0.5441
Au 3.5189 -7.4887 -0.1575
Au 1.2789 -7.6362 5.0791
Au 1.5966 -4.6823 2.4312
Au 3.2073 -10.7728 2.7515
```

Values from the calculation:
Total energy ... -3.636 eV per atom
Total moment ... 0.0 Bohr magnetons per cell
Energy of formation ... -0.40 eV per atom

***

Compound: LiAl2Au
Source: Alexandria
Functional: PBE-GGA
Structure: optimized geometry Values from VASP.

The structure in Quantum ESPRESSO input format:
```
&SYSTEM
  ibrav = 0, nat = 4, ntyp = 3
/
ATOMIC_SPECIES
Al 26.98 Al.upf
Li 6.94 Li.upf
Au 196.97 Au.upf
CELL_PARAMETERS angstrom
3.9744 0.0000 0.0000
0.0000 3.9751 0.0000
0.0000 0.0000 3.9479
ATOMIC_POSITIONS angstrom
Al 1.9872 1.9876 0.0000
Al 0.0000 0.0000 0.0000
Li 0.0000 1.9876 1.9739
Au 1.9872 0.0000 1.9739
```

Values from the calculation:
Total energy ... -3.529 eV per atom
Total moment ... 0.0 Bohr magnetons per cell
Energy of formation ... -0.36 eV per atom

***

Compound: LiAl2Au
Source: Alexandria
Functional: PBE-GGA
Structure: optimized geometry Values from VASP.

The structure in Quantum ESPRESSO input format:
```
&SYSTEM
  ibrav = 0, nat = 4, ntyp = 3
/
ATOMIC_SPECIES
Au 196.97 Au.upf
Li 6.94 Li.upf
Al 26.98 Al.upf
CELL_PARAMETERS angstrom
-2.5601 -1.4031 0.2371
1.3613 -2.2678 1.2581
-1.1413 3.2951 7.1744
ATOMIC_POSITIONS angstrom
Au -0.8847 -1.0117 2.5412
Li -1.4554 0.6359 6.1284
Al -0.0129 0.0372 0.0810
Al -0.5578 1.6103 3.5062
```

Values from the calculation:
Total energy ... -3.358 eV per atom
Total moment ... 0.0 Bohr magnetons per cell
Energy of formation ... -0.19 eV per atom

***

Compound: LiAl2Au
Source: Alexandria
Functional: PBE-GGA
Structure: optimized geometry Values from VASP.

The structure in Quantum ESPRESSO input format:
```
&SYSTEM
  ibrav = 0, nat = 4, ntyp = 3
/
ATOMIC_SPECIES
Au 196.97 Au.upf
Li 6.94 Li.upf
Al 26.98 Al.upf
CELL_PARAMETERS angstrom
-2.3643 1.5533 3.4620
0.0884 -2.1572 3.9149
2.0986 1.8152 3.5055
ATOMIC_POSITIONS angstrom
Au -0.0886 0.6056 5.4413
Li -0.1329 0.9085 8.1619
Al -0.0443 0.3028 2.7206
Al 0.0000 0.0000 0.0000
```

Values from the calculation:
Total energy ... -3.454 eV per atom
Total moment ... 0.0 Bohr magnetons per cell
Energy of formation ... -0.29 eV per atom

***

Compound: Li2AlAu4
Source: Alexandria
Functional: PBE-GGA
Structure: optimized geometry Values from VASP.

The structure in Quantum ESPRESSO input format:
```
&SYSTEM
  ibrav = 0, nat = 7, ntyp = 3
/
ATOMIC_SPECIES
Li 6.94 Li.upf
Au 196.97 Au.upf
Al 26.98 Al.upf
CELL_PARAMETERS angstrom
4.9985 -0.4511 -2.0345
-2.6218 4.5506 -1.3214
-0.2599 0.4511 5.3904
ATOMIC_POSITIONS angstrom
Li 1.1883 2.0498 -1.6780
Li 2.3693 0.0000 1.6780
Au -1.3109 2.2753 -0.6607
Au -0.1299 0.2255 2.6952
Au 2.4993 -0.2255 -1.0173
Au 1.0584 2.2753 1.0173
Al 0.0000 0.0000 0.0000
```

Values from the calculation:
Total energy ... -3.395 eV per atom
Total moment ... 0.0 Bohr magnetons per cell
Relative energy among the computed polymorphs ... 0.00 eV/f.u.
Energy of formation ... -0.44 eV per atom

***

Compound: LiAlAu
Source: Alexandria
Functional: PBE-GGA
Structure: optimized geometry Values from VASP.

The structure in Quantum ESPRESSO input format:
```
&SYSTEM
  ibrav = 0, nat = 6, ntyp = 3
/
ATOMIC_SPECIES
Al 26.98 Al.upf
Au 196.97 Au.upf
Li 6.94 Li.upf
CELL_PARAMETERS angstrom
-2.5074 -2.3156 2.9614
2.9248 -2.1771 -2.6734
3.9111 0.6060 3.7855
ATOMIC_POSITIONS angstrom
Al 4.0464 -1.7666 2.0447
Al 0.2821 -2.1200 2.0288
Au 2.2352 -1.8120 3.9233
Au 2.0933 -2.0746 0.1502
Li 1.9556 0.3030 1.8927
Li 0.0000 0.0000 0.0000
```

Values from the calculation:
Total energy ... -3.508 eV per atom
Total moment ... 0.0 Bohr magnetons per cell
Energy of formation ... -0.53 eV per atom

***

Compound: LiAl2Au
Source: Alexandria
Functional: PBE-GGA
Structure: optimized geometry Values from VASP.

The structure in Quantum ESPRESSO input format:
```
&SYSTEM
  ibrav = 0, nat = 4, ntyp = 3
/
ATOMIC_SPECIES
Li 6.94 Li.upf
Al 26.98 Al.upf
Au 196.97 Au.upf
CELL_PARAMETERS angstrom
4.9198 0.0606 -0.0628
3.3027 3.6469 -0.0628
1.6017 0.7222 3.5084
ATOMIC_POSITIONS angstrom
Li 2.4572 1.1079 0.8453
Al 7.3671 3.3217 2.5379
Al 9.8240 4.4295 3.3824
Au 4.9115 2.2146 1.6917
```

Values from the calculation:
Total energy ... -3.509 eV per atom
Total moment ... 0.0 Bohr magnetons per cell
Energy of formation ... -0.34 eV per atom

***

Compound: LiAlAu3
Source: Alexandria
Functional: PBE-GGA
Structure: optimized geometry Values from VASP.

The structure in Quantum ESPRESSO input format:
```
&SYSTEM
  ibrav = 0, nat = 5, ntyp = 3
/
ATOMIC_SPECIES
Au 196.97 Au.upf
Li 6.94 Li.upf
Al 26.98 Al.upf
CELL_PARAMETERS angstrom
-3.3829 -1.2623 3.2992
-3.1860 -0.8826 -3.6046
1.5256 -4.6422 -0.2118
ATOMIC_POSITIONS angstrom
Au -1.6915 -0.6311 1.6496
Au -1.5930 -0.4413 -1.8023
Au 0.7628 -2.3211 -0.1059
Li -2.5217 -3.3936 -0.2586
Al 0.0000 0.0000 0.0000
```

Values from the calculation:
Total energy ... -3.133 eV per atom
Total moment ... 0.0 Bohr magnetons per cell
Relative energy among the computed polymorphs ... 2.10 eV/f.u.
Energy of formation ... -0.04 eV per atom

***

Compound: Li2Al3Au4
Source: Alexandria
Functional: PBE-GGA
Structure: optimized geometry Values from VASP.

The structure in Quantum ESPRESSO input format:
```
&SYSTEM
  ibrav = 0, nat = 9, ntyp = 3
/
ATOMIC_SPECIES
Au 196.97 Au.upf
Li 6.94 Li.upf
Al 26.98 Al.upf
CELL_PARAMETERS angstrom
2.0575 4.2753 0.2807
-2.0575 4.2753 0.2807
0.0000 1.2547 8.2796
ATOMIC_POSITIONS angstrom
Au 0.0000 5.6906 1.2841
Au 0.0000 8.6311 3.3389
Au 0.0000 4.1147 7.5568
Au 0.0000 1.1742 5.5020
Li 0.0000 2.9683 1.9665
Li 0.0000 6.8370 6.8744
Al 0.0000 6.1317 3.9295
Al 0.0000 0.0000 0.0000
Al 0.0000 3.6736 4.9115
```

Values from the calculation:
Total energy ... -3.591 eV per atom
Total moment ... 0.0 Bohr magnetons per cell
Relative energy among the computed polymorphs ... 0.00 eV/f.u.
Energy of formation ... -0.46 eV per atom

***

Compound: LiAl2Au
Source: Alexandria
Functional: PBE-GGA
Structure: optimized geometry Values from VASP.

The structure in Quantum ESPRESSO input format:
```
&SYSTEM
  ibrav = 0, nat = 4, ntyp = 3
/
ATOMIC_SPECIES
Al 26.98 Al.upf
Au 196.97 Au.upf
Li 6.94 Li.upf
CELL_PARAMETERS angstrom
5.3306 -2.2420 3.2535
-2.2839 5.3128 -3.2535
0.8271 -3.8674 5.3279
ATOMIC_POSITIONS angstrom
Al 4.3695 -4.3353 6.0894
Al 1.7882 -1.7742 2.4921
Au 3.0788 -3.0547 4.2907
Li 0.0000 0.0000 0.0000
```

Values from the calculation:
Total energy ... -3.308 eV per atom
Total moment ... 0.0 Bohr magnetons per cell
Energy of formation ... -0.14 eV per atom

***

Compound: Li6AlAu2
Source: Alexandria
Functional: PBE-GGA
Structure: optimized geometry Values from VASP.

The structure in Quantum ESPRESSO input format:
```
&SYSTEM
  ibrav = 0, nat = 9, ntyp = 3
/
ATOMIC_SPECIES
Li 6.94 Li.upf
Au 196.97 Au.upf
Al 26.98 Al.upf
CELL_PARAMETERS angstrom
2.7596 0.2233 0.1791
2.0557 7.7333 1.3217
2.0557 2.9682 7.2623
ATOMIC_POSITIONS angstrom
Li 3.6696 5.3130 1.0268
Li 3.1995 5.6117 7.7361
Li 3.4375 4.6843 5.3519
Li 3.6696 2.1551 4.9636
Li 3.4375 6.2408 3.4114
Li 3.1995 8.7694 3.7994
Au 2.2896 3.6420 2.9214
Au 4.5805 7.2828 5.8417
Al 0.0002 0.0001 0.0001
```

Values from the calculation:
Total energy ... -2.763 eV per atom
Total moment ... 0.0 Bohr magnetons per cell
Relative energy among the computed polymorphs ... 0.08 eV/f.u.
Energy of formation ... -0.34 eV per atom

***

Compound: Li3AlAu2
Source: Alexandria
Functional: PBE-GGA
Structure: optimized geometry Values from VASP.

The structure in Quantum ESPRESSO input format:
```
&SYSTEM
  ibrav = 0, nat = 12, ntyp = 3
/
ATOMIC_SPECIES
Au 196.97 Au.upf
Li 6.94 Li.upf
Al 26.98 Al.upf
CELL_PARAMETERS angstrom
5.6063 0.0000 0.0000
0.0000 5.5485 0.0000
-2.8031 -2.7743 6.8431
ATOMIC_POSITIONS angstrom
Au 4.2838 2.7743 1.7200
Au 1.4807 2.7743 5.1232
Au -1.4807 0.0000 5.1232
Au 1.3225 0.0000 1.7200
Li 2.8031 4.1614 0.0000
Li 1.2830 0.0000 4.4199
Li 2.8031 1.3871 0.0000
Li 1.5202 2.7743 2.4232
Li 4.0861 0.0000 2.4232
Li -1.2830 2.7743 4.4199
Al 0.0000 1.3871 0.0000
Al 0.0000 4.1614 0.0000
```

Values from the calculation:
Total energy ... -3.084 eV per atom
Total moment ... 0.0 Bohr magnetons per cell
Energy of formation ... -0.41 eV per atom